No. 1
## HoPuBr (PBE-GGA)

Data for crystalline HoPuBr at its relaxed geometry.

```
HoPuBr
1.0
3.564 0.000 0.000
-1.782 3.087 0.000
0.000 0.000 14.904
Ho Br Pu
2 2 2
Direct
0.278 0.555 0.185 Ho
0.278 0.555 0.815 Ho
0.611 0.223 0.664 Br
0.611 0.223 0.336 Br
0.610 0.221 0.000 Pu
0.278 0.557 0.500 Pu
```

Uncorrected formation energy = -0.561 eV/atom

No. 2
## CsKHg4Au2 (PBE-GGA)

Data for crystalline CsKHg4Au2 at its relaxed geometry.

```
CsKHg4Au2
1.0
-0.296 -2.330 -3.994
-0.682 -3.936 2.347
-12.490 2.016 -0.249
Hg Au Cs K
4 2 1 1
Direct
0.000 0.500 0.244 Hg
0.000 0.500 0.756 Hg
0.500 0.000 0.756 Hg
0.500 0.000 0.244 Hg
0.500 0.500 0.608 Au
0.500 0.500 0.392 Au
0.000 0.000 0.000 Cs
0.000 0.000 0.500 K
```

DFT formation energy = -18.76 kJ per mole of atoms

No. 3
## Th4PtAu (PBE-GGA)

Data for crystalline Th4PtAu at its relaxed geometry.

```
Th4PtAu
1.0
6.053 -0.590 0.000
-1.583 8.104 0.000
-2.235 -3.757 6.879
Th Au Pt
8 2 2
Direct
0.774 0.697 0.619 Th
0.654 0.077 0.381 Th
0.950 0.780 0.160 Th
0.346 0.923 0.619 Th
0.050 0.220 0.840 Th
0.290 0.620 0.840 Th
0.710 0.380 0.160 Th
0.226 0.303 0.381 Th
0.633 0.383 0.767 Au
0.367 0.617 0.233 Au
0.736 0.986 0.972 Pt
0.264 0.014 0.028 Pt
```

Excess energy over the best structure of this formula in the dataset = 117 meV per atom
DFT formation energy = -46.17 kJ per mole of atoms

No. 4
## NpAl11Zn (PBE-GGA)

Data for crystalline NpAl11Zn at its relaxed geometry.

```
NpAl11Zn
1.0
-1.367 -5.124 -0.536
5.570 -4.177 0.852
-1.898 -2.897 6.031
Al Np Zn
11 1 1
Direct
0.500 0.000 0.500 Al
0.000 0.500 0.000 Al
0.655 0.352 0.356 Al
0.000 0.000 0.500 Al
0.502 0.216 0.786 Al
0.345 0.648 0.644 Al
0.010 0.352 0.644 Al
0.990 0.648 0.356 Al
0.288 0.216 0.214 Al
0.712 0.784 0.786 Al
0.498 0.784 0.214 Al
0.000 0.000 0.000 Np
0.500 0.500 0.000 Zn
```

DFT formation energy = -0.45 kJ per mole of atoms

No. 5
## DyYErTm3 (PBE-GGA)

Data for crystalline DyYErTm3 at its relaxed geometry.

```
DyYErTm3
1.0
-2.095 -0.597 5.230
2.915 -5.253 -2.500
9.802 3.387 4.313
Dy Tm Y Er
2 6 2 2
Direct
0.521 0.042 0.750 Dy
0.479 0.958 0.250 Dy
0.150 0.300 0.750 Tm
0.330 0.659 0.979 Tm
0.670 0.341 0.021 Tm
0.330 0.659 0.521 Tm
0.670 0.341 0.479 Tm
0.850 0.700 0.250 Tm
0.172 0.344 0.250 Y
0.828 0.656 0.750 Y
0.000 0.000 0.000 Er
0.000 0.000 0.500 Er
```

DFT formation energy = 12.33 kJ per mole of atoms

No. 6
## MnOsPb2 (PBE-GGA)

Data for crystalline MnOsPb2 at its relaxed geometry.

```
MnOsPb2
1.0
4.892 0.000 0.000
2.446 4.236 0.000
2.446 1.412 3.994
Mn Os Pb
1 1 2
Direct
0.500 0.500 0.500 Mn
0.750 0.750 0.750 Os
0.250 0.250 0.250 Pb
0.000 0.000 0.000 Pb
```

Excess energy over the best structure of this formula in the dataset = 543 meV per atom
DFT formation energy = 88.73 kJ per mole of atoms

No. 7
## AcYTm2Se4 (PBE-GGA)

Data for crystalline AcYTm2Se4 at its relaxed geometry.

```
AcYTm2Se4
1.0
-1.870 3.308 -1.422
-3.820 0.580 6.370
3.726 4.025 4.464
Tm Ac Se Y
2 1 4 1
Direct
0.500 0.000 0.500 Tm
0.000 0.000 0.000 Tm
0.500 0.500 0.000 Ac
0.000 0.224 0.269 Se
0.500 0.768 0.254 Se
0.500 0.232 0.746 Se
0.000 0.776 0.731 Se
0.000 0.500 0.500 Y
```

Uncorrected formation energy = -1.709 eV/atom

No. 8
## NaGaCu (PBE-GGA)

Data for crystalline NaGaCu at its relaxed geometry.

```
NaGaCu
1.0
3.169 0.000 0.000
0.000 3.169 0.000
-1.584 -1.584 5.605
Cu Na Ga
1 1 1
Direct
0.304 0.304 0.608 Cu
0.996 0.996 0.992 Na
0.700 0.700 0.400 Ga
```

DFT formation energy = 3.34 kJ per mole of atoms

No. 9
## KTl2CdGa (PBE-GGA)

Data for crystalline KTl2CdGa at its relaxed geometry.

```
KTl2CdGa
1.0
-3.302 -4.691 -0.170
2.633 -2.023 4.681
-3.601 2.423 3.072
Tl Ga Cd K
2 1 1 1
Direct
0.000 0.500 0.000 Tl
0.500 0.000 0.000 Tl
0.000 0.000 0.000 Ga
0.000 0.000 0.500 Cd
0.500 0.500 0.500 K
```

DFT formation energy = 5.88 kJ per mole of atoms

No. 10
## BeCu2Bi (PBE-GGA)

Data for crystalline BeCu2Bi at its relaxed geometry.

```
BeCu2Bi
1.0
4.111 0.000 0.000
0.000 4.111 0.000
2.056 2.056 8.207
Bi Cu Be
2 4 2
Direct
0.000 0.000 0.000 Bi
0.750 0.250 0.500 Bi
0.875 0.781 0.750 Cu
0.531 0.125 0.250 Cu
0.219 0.625 0.250 Cu
0.375 0.469 0.750 Cu
0.250 0.750 0.500 Be
0.500 0.500 0.000 Be
```

Excess energy over the best structure of this formula in the dataset = 0 meV per atom
DFT formation energy = 40.94 kJ per mole of atoms

No. 11
## LiYSeN2 (PBE-GGA)

Data for crystalline LiYSeN2 at its relaxed geometry.

```
LiYSeN2
1.0
-1.179 -3.848 -2.177
3.422 -2.221 2.073
-3.457 -1.350 4.260
Y N Se Li
1 2 1 1
Direct
0.000 0.000 0.000 Y
0.000 0.500 0.000 N
0.500 0.000 0.000 N
0.000 0.000 0.500 Se
0.500 0.500 0.500 Li
```

Excess energy over the best structure of this formula in the dataset = 0 meV per atom
Uncorrected formation energy = 0.370 eV/atom

No. 12
## CaAc2NdSm (PBE-GGA)

Data for crystalline CaAc2NdSm at its relaxed geometry.

```
CaAc2NdSm
1.0
-4.282 -5.067 -1.049
4.292 -1.936 -8.168
4.085 -4.095 3.104
Nd Ca Sm Ac
2 2 2 4
Direct
0.000 0.000 0.500 Nd
0.000 0.000 0.000 Nd
0.213 0.500 0.750 Ca
0.787 0.500 0.250 Ca
0.573 0.000 0.250 Sm
0.427 0.000 0.750 Sm
0.279 0.297 0.250 Ac
0.279 0.703 0.250 Ac
0.721 0.297 0.750 Ac
0.721 0.703 0.750 Ac
```

DFT formation energy = 22.82 kJ per mole of atoms

No. 13
## Zr2TeRh (PBE-GGA)

Data for crystalline Zr2TeRh at its relaxed geometry.

```
Zr2TeRh
1.0
-3.889 -2.826 -5.635
-4.371 -5.329 -2.713
-6.502 -2.093 -2.865
Rh Zr Te
1 2 1
Direct
0.250 0.250 0.250 Rh
0.515 0.515 0.515 Zr
0.985 0.985 0.985 Zr
0.750 0.750 0.750 Te
```

Excess energy over the best structure of this formula in the dataset = 4 meV per atom
Uncorrected formation energy = -0.638 eV/atom

No. 14
## LaAuBr2 (PBE-GGA)

Data for crystalline LaAuBr2 at its relaxed geometry.

```
LaAuBr2
1.0
4.016 0.000 0.000
0.000 4.261 0.082
0.000 1.890 8.298
Br Au La
2 1 1
Direct
0.000 0.106 0.910 Br
0.500 0.403 0.306 Br
0.500 0.709 0.718 Au
0.000 0.282 0.567 La
```

Excess energy over the best structure of this formula in the dataset = 69 meV per atom
Uncorrected formation energy = -1.233 eV/atom

No. 15
## Nd4Si2Br3 (PBE-GGA)

Data for crystalline Nd4Si2Br3 at its relaxed geometry.

```
Nd4Si2Br3
1.0
-3.420 -2.552 0.157
3.919 -1.657 0.365
-0.783 2.121 17.839
Br Nd Si
3 4 2
Direct
0.000 0.000 0.000 Br
0.334 0.666 0.604 Br
0.666 0.334 0.396 Br
0.666 0.334 0.117 Nd
0.334 0.666 0.883 Nd
0.999 0.001 0.296 Nd
0.001 0.999 0.704 Nd
0.333 0.667 0.203 Si
0.667 0.333 0.797 Si
```

Uncorrected formation energy = -1.248 eV/atom

No. 16
## K2CaMg (PBE-GGA)

Data for crystalline K2CaMg at its relaxed geometry.

```
K2CaMg
1.0
7.810 0.009 0.004
-4.224 6.570 0.004
0.777 1.425 3.578
K Ca Mg
2 1 1
Direct
0.500 0.500 0.000 K
0.000 0.000 0.000 K
0.000 0.500 0.500 Ca
0.500 0.000 0.500 Mg
```

DFT formation energy = 22.07 kJ per mole of atoms

No. 17
## Tb5Au6 (PBE-GGA)

Data for crystalline Tb5Au6 at its relaxed geometry.

```
Tb5Au6
1.0
-2.097 -4.246 -1.554
5.062 -3.856 3.705
-5.937 4.031 4.990
Tb Au
5 6
Direct
0.672 0.672 0.345 Tb
0.355 0.855 0.709 Tb
0.645 0.145 0.291 Tb
0.000 0.500 0.000 Tb
0.328 0.328 0.655 Tb
0.821 0.091 0.642 Au
0.821 0.551 0.642 Au
0.179 0.909 0.358 Au
0.500 0.721 0.000 Au
0.179 0.449 0.358 Au
0.500 0.279 0.000 Au
```

DFT formation energy = -72.41 kJ per mole of atoms

No. 18
## Mn8Re3Ir (PBE-GGA)

Data for crystalline Mn8Re3Ir at its relaxed geometry.

```
Mn8Re3Ir
1.0
-4.475 1.296 0.383
1.528 -1.989 -3.944
-1.754 -6.879 2.790
Mn Re Ir
8 3 1
Direct
0.507 0.015 0.750 Mn
0.507 0.493 0.750 Mn
0.985 0.493 0.750 Mn
0.333 0.667 0.002 Mn
0.682 0.841 0.249 Mn
0.159 0.841 0.249 Mn
0.159 0.318 0.249 Mn
0.333 0.667 0.501 Mn
0.667 0.333 0.431 Re
0.000 0.000 0.932 Re
0.667 0.333 0.069 Re
0.000 0.000 0.568 Ir
```

DFT formation energy = -10.11 kJ per mole of atoms

No. 19
## NaMgCdW2 (PBE-GGA)

Data for crystalline NaMgCdW2 at its relaxed geometry.

```
NaMgCdW2
1.0
4.799 0.000 0.000
0.000 5.101 0.000
0.000 0.000 4.799
W Na Cd Mg
2 1 1 1
Direct
0.000 0.000 0.500 W
0.500 0.000 0.000 W
0.500 0.500 0.500 Na
0.000 0.500 0.000 Cd
0.000 0.000 0.000 Mg
```

DFT formation energy = 207.78 kJ per mole of atoms

No. 20
## BeTc2C2 (PBE-GGA)

Data for crystalline BeTc2C2 at its relaxed geometry.

```
BeTc2C2
1.0
-0.378 -1.250 5.842
-3.152 -4.930 -1.259
2.352 -1.462 -0.161
Tc C Be
4 4 2
Direct
0.349 0.849 0.000 Tc
0.849 0.651 0.000 Tc
0.151 0.349 0.000 Tc
0.651 0.151 0.000 Tc
0.646 0.854 0.500 C
0.854 0.354 0.500 C
0.146 0.646 0.500 C
0.354 0.146 0.500 C
0.000 0.000 0.000 Be
0.500 0.500 0.000 Be
```

Excess energy over the best structure of this formula in the dataset = 0 meV per atom
DFT formation energy = 67.27 kJ per mole of atoms

No. 21
## Fe2SbBr (PBE-GGA)

Data for crystalline Fe2SbBr at its relaxed geometry.

```
Fe2SbBr
1.0
-2.735 0.459 1.994
0.169 -3.267 0.983
4.019 1.746 5.113
Fe Sb Br
2 1 1
Direct
0.000 0.000 0.433 Fe
0.000 0.000 0.067 Fe
0.500 0.500 0.250 Sb
0.500 0.500 0.750 Br
```

Excess energy over the best structure of this formula in the dataset = 402 meV per atom
Uncorrected formation energy = 0.469 eV/atom

No. 22
## TlCuSe2 (PBE-GGA)

Data for crystalline TlCuSe2 at its relaxed geometry.

```
TlCuSe2
1.0
6.082 -0.005 -0.141
4.968 3.508 -0.141
0.121 0.038 5.433
Se Tl Cu
2 1 1
Direct
0.308 0.308 0.000 Se
0.049 0.049 0.000 Se
0.464 0.464 0.500 Tl
0.679 0.679 0.000 Cu
```

Uncorrected formation energy = -0.187 eV/atom